The following is a DFT calculation (PBE) of a relaxed TbNd2I6 crystal.

abc: 7.9238 7.9238 12.1127
angles: 90.00 90.00 90.00
Last column: nearest neighbours and their distance in Å.
Element x y z (fractional)
Tb 0.0000 0.0000 0.0000  6 I 3.09
Tb 0.5000 0.5000 0.5000  6 I 3.09
Nd 0.0000 0.0000 0.3415  6 I 3.16-3.24
Nd 0.0000 0.0000 0.6585  6 I 3.16-3.24
Nd 0.5000 0.5000 0.1585  6 I 3.16-3.24
Nd 0.5000 0.5000 0.8415  6 I 3.16-3.24
I 0.2113 0.2113 0.1645  1 Tb 3.09, 2 Nd 3.19-3.24
I 0.2113 0.2113 0.8355  1 Tb 3.09, 2 Nd 3.19-3.24
I 0.2240 0.2240 0.5000  1 Tb 3.09, 2 Nd 3.16
I 0.2760 0.7240 0.0000  1 Tb 3.09, 2 Nd 3.16
I 0.2887 0.7113 0.3355  1 Tb 3.09, 2 Nd 3.19-3.24
I 0.2887 0.7113 0.6645  1 Tb 3.09, 2 Nd 3.19-3.24
I 0.7113 0.2887 0.3355  1 Tb 3.09, 2 Nd 3.19-3.24
I 0.7113 0.2887 0.6645  1 Tb 3.09, 2 Nd 3.19-3.24
I 0.7240 0.2760 0.0000  1 Tb 3.09, 2 Nd 3.16
I 0.7760 0.7760 0.5000  1 Tb 3.09, 2 Nd 3.16
I 0.7887 0.7887 0.1645  1 Tb 3.09, 2 Nd 3.19-3.24
I 0.7887 0.7887 0.8355  1 Tb 3.09, 2 Nd 3.19-3.24


The following is a DFT calculation (PBE) of a relaxed TbNdI5 crystal.

abc: 9.4421 4.1857 15.5052
angles: 90.00 90.37 90.00
Last column: nearest neighbours and their distance in Å.
Element x y z (fractional)
Tb 0.1372 0.2500 0.1757  6 I 3.08-3.14
Tb 0.8628 0.7500 0.8243  6 I 3.08-3.14
Nd 0.4118 0.7500 0.3573  7 I 3.20-3.34
Nd 0.5882 0.2500 0.6427  7 I 3.20-3.34
I 0.0947 0.2500 0.7888  2 Tb 3.08
I 0.1584 0.2500 0.3780  1 Tb 3.14, 2 Nd 3.20
I 0.2090 0.7500 0.0374  2 Tb 3.08
I 0.3551 0.7500 0.5699  3 Nd 3.23-3.34
I 0.4662 0.2500 0.2038  1 Tb 3.13, 2 Nd 3.21
I 0.5338 0.7500 0.7962  1 Tb 3.13, 2 Nd 3.21
I 0.6449 0.2500 0.4301  3 Nd 3.23-3.34
I 0.7910 0.2500 0.9626  2 Tb 3.08
I 0.8416 0.7500 0.6220  1 Tb 3.14, 2 Nd 3.20
I 0.9053 0.7500 0.2112  2 Tb 3.08


The following is a DFT calculation (PBE) of a relaxed TbNdI2 crystal.

abc: 9.9856 9.9856 9.9856
angles: 22.17 22.17 22.17
Last column: nearest neighbours and their distance in Å.
Element x y z (fractional)
Tb 0.0000 0.0000 0.0000  6 I 3.22-3.30
Nd 0.8372 0.8372 0.8372  6 I 3.28-3.37
I 0.4169 0.4169 0.4169  3 Tb 3.30, 3 Nd 3.37
I 0.5866 0.5866 0.5866  3 Tb 3.22, 3 Nd 3.28


The following is a DFT calculation (PBE) of a relaxed TbNdI2 crystal.

abc: 11.0443 11.0443 11.0443
angles: 20.39 20.39 20.39
Last column: nearest neighbours and their distance in Å.
Element x y z (fractional)
Tb 0.0000 0.0000 0.0000  2 I 3.09
Nd 0.5000 0.5000 0.5000  6 I 3.23
I 0.0954 0.0954 0.0954  1 Tb 3.09, 3 Nd 3.23
I 0.9046 0.9046 0.9046  1 Tb 3.09, 3 Nd 3.23


The following is a DFT calculation (PBE) of a relaxed TbNdI crystal.

abc: 7.5817 7.5817 7.5817
angles: 151.51 151.51 40.73
Last column: nearest neighbours and their distance in Å.
Element x y z (fractional)
Tb 0.0000 0.0000 0.0000  4 I 3.46, 4 Nd 3.60, 4 Tb 3.73
Nd 0.6727 0.6727 0.0000  4 I 3.57, 4 Tb 3.60, 4 Nd 3.73
I 0.3423 0.3423 0.0000  4 Tb 3.46, 4 Nd 3.57, 4 I 3.73


The following is a DFT calculation (PBE) of a relaxed Tb2NdI8 crystal.

abc: 9.9719 9.9719 7.4338
angles: 90.99 90.99 56.54
Last column: nearest neighbours and their distance in Å.
Element x y z (fractional)
Tb 0.1551 0.1551 0.3839  4 I 2.84-2.97
Tb 0.8449 0.8449 0.6161  4 I 2.84-2.97
Nd 0.0000 0.0000 0.0000  6 I 3.18-3.21
I 0.1560 0.1560 0.7834  1 Tb 2.97, 1 Nd 3.21
I 0.1766 0.6851 0.7537  1 Tb 2.94, 1 Nd 3.18
I 0.3110 0.3110 0.2901  1 Tb 2.84
I 0.3149 0.8234 0.2463  1 Tb 2.94, 1 Nd 3.18
I 0.6851 0.1766 0.7537  1 Tb 2.94, 1 Nd 3.18
I 0.6890 0.6890 0.7099  1 Tb 2.84
I 0.8234 0.3149 0.2463  1 Tb 2.94, 1 Nd 3.18
I 0.8440 0.8440 0.2166  1 Tb 2.97, 1 Nd 3.21


The following is a DFT calculation (PBE) of a relaxed TbNd2I crystal.

abc: 11.0520 11.0520 11.0520
angles: 19.82 19.82 19.82
Last column: nearest neighbours and their distance in Å.
Element x y z (fractional)
Tb 0.0000 0.0000 0.0000  6 Nd 3.60, 6 Tb 3.80
Nd 0.2454 0.2454 0.2454  3 I 3.37, 3 Tb 3.60
Nd 0.7546 0.7546 0.7546  3 I 3.37, 3 Tb 3.60
I 0.5000 0.5000 0.5000  6 Nd 3.37


The following is a DFT calculation (PBE) of a relaxed TbNd2I crystal.

abc: 3.7115 3.7115 9.7436
angles: 90.00 90.00 90.00
Last column: nearest neighbours and their distance in Å.
Element x y z (fractional)
Tb 0.0000 0.0000 0.0000  8 Nd 3.63, 4 Tb 3.71
Nd 0.5000 0.5000 0.2577  4 I 3.53, 4 Tb 3.63, 4 Nd 3.71
Nd 0.5000 0.5000 0.7423  4 I 3.53, 4 Tb 3.63, 4 Nd 3.71
I 0.0000 0.0000 0.5000  8 Nd 3.53, 4 I 3.71


| no. | energy (eV per atom) | formation energy without anion corrections (eV/atom) | magnetic moment (μB/cell) |
| --- | --- | --- | --- |
| 1 | -3.7661 | -1.1587 | 1.0 |
| 2 | -3.7975 | -1.3477 | 1.9 |
| 3 | -3.9080 | -0.7834 | 0.0 |
| 4 | -3.8451 | -0.7205 | 0.0 |
| 5 | -4.0967 | -0.4473 | 0.0 |
| 6 | -3.6339 | -1.2313 | 1.0 |
| 7 | -4.3152 | -0.3861 | 0.0 |
| 8 | -4.2733 | -0.3443 | 0.0 |